# 1
{
  "formula": "ZnSi2Ir2",
  "functional": "PBE",
  "state": "relaxed",
  "lattice_angstrom": [[3.798, 0.000, 0.000], [0.000, 3.798, 0.000], [0.000, 0.000, 5.473]],
  "species": ["Zn", "Si", "Si", "Ir", "Ir"],
  "frac_coords": [[0.000, 0.000, 0.000], [0.500, 0.000, 0.500], [0.000, 0.500, 0.500], [0.500, 0.500, 0.766], [0.500, 0.500, 0.234]],
  "raw_formation_energy_mev_per_atom": -125,
  "sg": "P4/mmm (123)",
  "total_magnetization_mub_per_cell": 0.0
}

# 2
{
  "formula": "Dy2ErTm2Mg",
  "functional": "PBE",
  "state": "relaxed",
  "lattice_angstrom": [[3.592, 0.000, 0.000], [0.000, 11.663, 0.000], [0.000, 0.000, 10.099]],
  "species": ["Dy", "Dy", "Dy", "Dy", "Er", "Er", "Tm", "Tm", "Tm", "Tm", "Mg", "Mg"],
  "frac_coords": [[0.500, 0.778, 0.402], [0.500, 0.222, 0.598], [0.000, 0.722, 0.902], [0.000, 0.278, 0.098], [0.500, 0.500, 0.000], [0.000, 0.000, 0.500], [0.500, 0.074, 0.251], [0.000, 0.574, 0.249], [0.500, 0.926, 0.749], [0.000, 0.426, 0.751], [0.000, 0.000, 0.000], [0.500, 0.500, 0.500]],
  "sg": "Pnnm (58)",
  "total_magnetization_mub_per_cell": 0.0
}

# 3
{
  "formula": "Tl2SiTe5",
  "functional": "PBE",
  "state": "relaxed",
  "lattice_angstrom": [[6.747, 0.000, 0.000], [0.000, 6.669, -0.003], [-3.373, -3.330, 6.971]],
  "species": ["Tl", "Tl", "Si", "Te", "Te", "Te", "Te", "Te"],
  "frac_coords": [[0.222, 0.721, 0.443], [0.723, 0.223, 0.446], [0.950, 0.950, 0.900], [0.766, 0.288, 0.055], [0.289, 0.288, 0.055], [0.766, 0.767, 0.055], [0.289, 0.767, 0.055], [0.773, 0.773, 0.545]],
  "raw_formation_energy_mev_per_atom": -11,
  "sg": "Cm (8)",
  "total_magnetization_mub_per_cell": 0.0,
  "relative_energy_ev_per_atom": 0.084
}

# 4
{
  "formula": "Tb3Pr4Dy8",
  "functional": "PBE",
  "state": "relaxed",
  "lattice_angstrom": [[-4.597, -5.001, 1.641], [1.582, -6.711, -1.138], [3.697, -4.646, 11.079]],
  "species": ["Tb", "Tb", "Tb", "Pr", "Pr", "Pr", "Pr", "Dy", "Dy", "Dy", "Dy", "Dy", "Dy", "Dy", "Dy"],
  "frac_coords": [[0.500, 0.000, 0.500], [0.000, 0.000, 0.500], [0.000, 0.500, 0.500], [0.000, 0.000, 0.000], [0.337, 0.337, 0.990], [0.500, 0.500, 0.500], [0.663, 0.663, 0.010], [0.245, 0.245, 0.265], [0.247, 0.750, 0.254], [0.750, 0.750, 0.254], [0.750, 0.247, 0.254], [0.755, 0.755, 0.735], [0.753, 0.250, 0.746], [0.250, 0.250, 0.746], [0.250, 0.753, 0.746]],
  "sg": "R-3m (166)",
  "total_magnetization_mub_per_cell": 0.0,
  "relative_energy_ev_per_atom": 0.000
}

# 5
{
  "formula": "La12Pr5Nd",
  "functional": "PBE",
  "state": "relaxed",
  "lattice_angstrom": [[11.153, -0.001, -0.013], [5.574, 9.546, -1.620], [0.008, -1.118, 6.359]],
  "species": ["La", "La", "La", "La", "La", "La", "La", "La", "La", "La", "La", "La", "Pr", "Pr", "Pr", "Pr", "Pr", "Nd"],
  "frac_coords": [[0.833, 0.000, 0.500], [0.167, 0.000, 0.500], [0.668, 0.000, 0.000], [0.332, 0.000, 0.000], [0.334, 0.667, 0.000], [0.999, 0.667, 0.000], [0.001, 0.333, 0.000], [0.666, 0.333, 0.000], [0.501, 0.333, 0.500], [0.834, 0.667, 0.500], [0.166, 0.333, 0.500], [0.499, 0.667, 0.500], [0.500, 0.000, 0.500], [0.166, 0.667, 0.500], [0.834, 0.333, 0.500], [0.667, 0.667, 0.000], [0.333, 0.333, 0.000], [0.000, 0.000, 0.000]],
  "sg": "C2/m (12)",
  "total_magnetization_mub_per_cell": 0.0
}

# 6
{
  "formula": "YHgIr2",
  "functional": "PBE",
  "state": "relaxed",
  "lattice_angstrom": [[4.752, 0.000, 0.000], [2.376, 4.116, 0.000], [2.376, 1.372, 3.880]],
  "species": ["Hg", "Ir", "Ir", "Y"],
  "frac_coords": [[0.500, 0.500, 0.500], [0.000, 0.000, 0.000], [0.250, 0.250, 0.250], [0.750, 0.750, 0.750]],
  "sg": "F-43m (216)",
  "total_magnetization_mub_per_cell": 0.6
}

# 7
{
  "formula": "CsNiRuI2",
  "functional": "PBE",
  "state": "relaxed",
  "lattice_angstrom": [[-3.701, 1.684, -3.938], [-3.043, -3.222, 1.482], [-2.181, 3.738, 3.648]],
  "species": ["Cs", "I", "I", "Ni", "Ru"],
  "frac_coords": [[0.500, 0.500, 0.500], [0.000, 0.000, 0.500], [0.500, 0.000, 0.000], [0.000, 0.500, 0.000], [0.000, 0.000, 0.000]],
  "raw_formation_energy_mev_per_atom": 169,
  "sg": "P4/mmm (123)",
  "total_magnetization_mub_per_cell": 0.0
}

# 8
{
  "formula": "CaBCl3",
  "functional": "PBE",
  "state": "relaxed",
  "lattice_angstrom": [[5.325, 0.000, 0.000], [0.000, 5.325, 0.000], [0.000, 0.000, 5.325]],
  "species": ["Ca", "B", "Cl", "Cl", "Cl"],
  "frac_coords": [[0.000, 0.000, 0.000], [0.500, 0.500, 0.500], [0.000, 0.500, 0.000], [0.000, 0.000, 0.500], [0.500, 0.000, 0.000]],
  "raw_formation_energy_mev_per_atom": -448,
  "sg": "Pm-3m (221)",
  "total_magnetization_mub_per_cell": 0.0,
  "relative_energy_ev_per_atom": 0.088
}

# 9
{
  "formula": "LuIrSe2",
  "functional": "PBE",
  "state": "relaxed",
  "lattice_angstrom": [[3.779, 0.000, 0.000], [1.890, 3.273, 0.000], [1.890, 1.091, 8.089]],
  "species": ["Ir", "Lu", "Se", "Se"],
  "frac_coords": [[0.500, 0.500, 0.500], [0.000, 0.000, 0.000], [0.115, 0.115, 0.654], [0.885, 0.885, 0.346]],
  "raw_formation_energy_mev_per_atom": -354,
  "sg": "R-3m (166)",
  "total_magnetization_mub_per_cell": 0.0
}

# 10
{
  "formula": "Tm4GaTe2",
  "functional": "PBE",
  "state": "relaxed",
  "lattice_angstrom": [[-3.174, -2.305, -1.112], [4.080, -3.264, -4.881], [1.218, -1.773, 7.674]],
  "species": ["Tm", "Tm", "Tm", "Tm", "Te", "Te", "Ga"],
  "frac_coords": [[0.104, 0.460, 0.209], [0.896, 0.540, 0.791], [0.393, 0.096, 0.787], [0.607, 0.904, 0.213], [0.241, 0.250, 0.481], [0.759, 0.750, 0.519], [0.000, 0.000, 0.000]],
  "raw_formation_energy_mev_per_atom": -766,
  "sg": "C2/m (12)",
  "total_magnetization_mub_per_cell": 0.0,
  "relative_energy_ev_per_atom": 0.017
}

Calculated DFT total energy (eV/atom), listed in the same order as above: -6.093; -3.570; -3.244; -4.539; -4.864; -6.065; -3.633; -3.292; -5.442; -4.652